Entry 1:
The following is a PBE-GGA calculation of a relaxed structure of RbHoTc2O8, from the Alexandria database.

Computed properties:
* energy relative to the elements, uncorrected: -2241 kJ/mol of formula units

Lattice parameters (Å, degrees): 5.9925 5.9925 7.9751 90.00 90.00 120.00
Closest atoms and distances in Å follow each position.
Fractional positions:
O  0.3404  0.1702  0.3283  1 Tc 1.80
O  0.6596  0.8298  0.6717  1 Tc 1.80
O  0.8298  0.1702  0.3283  1 Tc 1.80
O  0.8298  0.6596  0.3283  1 Tc 1.80
O  0.1702  0.3404  0.6717  1 Tc 1.80
O  0.3333  0.6667  0.9667  1 Tc 1.75
O  0.6667  0.3333  0.0333  1 Tc 1.75
O  0.1702  0.8298  0.6717  1 Tc 1.80
Tc  0.3333  0.6667  0.7476  4 O 1.75-1.80
Tc  0.6667  0.3333  0.2524  4 O 1.75-1.80
Ho  0.0000  0.0000  0.5000  6 O 2.24
Rb  0.0000  0.0000  0.0000  12 O 3.16-3.47

---

Entry 2:
The following is a PBE-GGA calculation of a relaxed structure of PmBiAs, from the Alexandria database.

Computed properties:
* ΔE to the lowest computed polymorph: 41 kJ/mol of formula units
* formation enthalpy at 0 K: -0.56 eV/atom

Lattice parameters (Å, degrees): 5.3142 5.3142 8.1157 70.89 70.89 60.00
Closest atoms and distances in Å follow each position.
Fractional positions:
As  0.2770  0.2770  0.1691  1 Bi 2.84, 4 Pm 2.91-3.09
As  0.7230  0.7230  0.8309  1 Bi 2.84, 4 Pm 2.91-3.09
Bi  0.1508  0.1508  0.5476  1 As 2.84, 3 Bi 3.15
Bi  0.8492  0.8492  0.4524  1 As 2.84, 3 Bi 3.15
Pm  0.4059  0.4059  0.7823  4 As 2.91-3.09
Pm  0.5941  0.5941  0.2177  4 As 2.91-3.09

---

Entry 3:
The following is a PBE-GGA calculation of a relaxed structure of CuHg4Pd5, from the Alexandria database.

Computed properties:
* formation enthalpy at 0 K: -0.16 eV/atom

Lattice parameters (Å, degrees): 3.0737 3.0737 18.3198 90.00 90.00 90.00
Closest atoms and distances in Å follow each position.
Fractional positions:
Cu  0.0000  0.0000  0.0000  8 Pd 2.64
Hg  0.0000  0.0000  0.1849  8 Pd 2.88-2.91, 4 Hg 3.07
Hg  0.0000  0.0000  0.3949  8 Pd 2.90, 4 Hg 3.07
Hg  0.0000  0.0000  0.6051  8 Pd 2.90, 4 Hg 3.07
Hg  0.0000  0.0000  0.8151  8 Pd 2.88-2.91, 4 Hg 3.07
Pd  0.5000  0.5000  0.7099  8 Hg 2.90-2.91, 4 Pd 3.07
Pd  0.5000  0.5000  0.9186  4 Cu 2.64, 4 Hg 2.88
Pd  0.5000  0.5000  0.0814  4 Cu 2.64, 4 Hg 2.88
Pd  0.5000  0.5000  0.2901  8 Hg 2.90-2.91, 4 Pd 3.07
Pd  0.5000  0.5000  0.5000  8 Hg 2.90, 4 Pd 3.07

---

Entry 4:
The following is a PBE-GGA calculation of a relaxed structure of Sm5In2HgIr2, from the Alexandria database.

Computed properties:
* formation enthalpy at 0 K: -0.53 eV/atom

Lattice parameters (Å, degrees): 3.7818 12.0060 12.0060 90.00 90.00 90.00
Closest atoms and distances in Å follow each position.
Fractional positions:
Ir  0.0000  0.6330  0.8670  6 Sm 2.80-2.95
Ir  0.0000  0.3670  0.1330  6 Sm 2.80-2.95
Ir  0.0000  0.8670  0.3670  6 Sm 2.80-2.95
Ir  0.0000  0.1330  0.6330  6 Sm 2.80-2.95
In  0.0000  0.1766  0.3234  1 Ir 3.23, 6 Sm 3.54-3.55
In  0.0000  0.3234  0.8234  1 Ir 3.23, 6 Sm 3.54-3.55
In  0.0000  0.8234  0.6766  1 Ir 3.23, 6 Sm 3.54-3.55
In  0.0000  0.6766  0.1766  1 Ir 3.23, 6 Sm 3.54-3.55
Sm  0.5000  0.5748  0.7056  2 Ir 2.80
Sm  0.5000  0.5000  0.0000  4 Ir 2.95
Sm  0.5000  0.2944  0.5748  2 Ir 2.80
Sm  0.5000  0.2056  0.0748  2 Ir 2.80
Sm  0.5000  0.4252  0.2944  2 Ir 2.80
Sm  0.5000  0.9252  0.2056  2 Ir 2.80
Sm  0.5000  0.0000  0.5000  4 Ir 2.95
Sm  0.5000  0.7944  0.9252  2 Ir 2.80
Sm  0.5000  0.7056  0.4252  2 Ir 2.80
Sm  0.5000  0.0748  0.7944  2 Ir 2.80
Hg  0.0000  0.5000  0.5000  8 Sm 3.24
Hg  0.0000  0.0000  0.0000  8 Sm 3.24

---

Entry 5:
The following is a PBE-GGA calculation of a relaxed structure of NaLu2Te, from the Alexandria database.

Computed properties:
* energy relative to the elements, uncorrected: -76 kJ/mol of formula units

Lattice parameters (Å, degrees): 3.7831 3.7831 11.3170 80.38 80.38 60.00
Closest atoms and distances in Å follow each position.
Fractional positions:
Te  0.5000  0.5000  0.5000  6 Lu 3.01
Na  0.0000  0.0000  0.0000  2 Lu 3.48, 6 Na 3.78
Lu  0.1045  0.1045  0.6865  3 Te 3.01
Lu  0.8955  0.8955  0.3135  3 Te 3.01

---

Entry 6:
The following is a PBE-GGA calculation of a relaxed structure of LaEuMgRh, from the Alexandria database.

Computed properties:
* formation enthalpy at 0 K: -0.24 eV/atom

Lattice parameters (Å, degrees): 5.2621 5.2621 5.2621 60.00 60.00 60.00
Closest atoms and distances in Å follow each position.
Fractional positions:
Mg  0.0000  0.0000  0.0000  4 Eu 3.22, 4 La 3.22
Rh  0.5000  0.5000  0.5000  4 Eu 3.22, 4 La 3.22
Eu  0.2500  0.2500  0.2500  4 Rh 3.22, 4 Mg 3.22
La  0.7500  0.7500  0.7500  4 Mg 3.22, 4 Rh 3.22

---

Entry 7:
The following is a PBE-GGA calculation of a relaxed structure of ScTl3Fe, from the Alexandria database.

Computed properties:
* ΔE to the lowest computed polymorph: 0 kJ/mol of formula units
* formation enthalpy at 0 K: 0.49 eV/atom

Lattice parameters (Å, degrees): 5.0214 5.0214 5.0214 90.00 90.00 90.00
Closest atoms and distances in Å follow each position.
Fractional positions:
Tl  0.0000  0.0000  0.5000  2 Fe 2.51
Tl  0.0000  0.5000  0.0000  2 Fe 2.51
Tl  0.5000  0.0000  0.0000  2 Fe 2.51
Fe  0.0000  0.0000  0.0000  6 Tl 2.51
Sc  0.5000  0.5000  0.5000  12 Tl 3.55

---

Entry 8:
The following is a PBE-GGA calculation of a relaxed structure of PmSm5Y4, from the Alexandria database.

Computed properties:
* ΔE to the lowest computed polymorph: 0 kJ/mol of formula units
* formation enthalpy at 0 K: 0.06 eV/atom

Lattice parameters (Å, degrees): 3.5991 6.9012 14.3985 100.89 93.33 72.71
Closest atoms and distances in Å follow each position.
Fractional positions:
Pm  0.5000  0.0000  0.0000  4 Y 3.32-3.55, 2 Sm 3.45, 2 Pm 3.60
Sm  0.5000  0.5000  0.0000  2 Pm 3.45, 2 Sm 3.60, 4 Y 3.63-3.70
Sm  0.5721  0.4245  0.6154  4 Y 3.50-3.72, 8 Sm 3.54-3.70
Sm  0.8191  0.8799  0.5851  3 Y 3.48-3.71, 9 Sm 3.54-3.70
Sm  0.4279  0.5755  0.3846  4 Y 3.50-3.72, 8 Sm 3.54-3.70
Sm  0.1809  0.1201  0.4149  3 Y 3.48-3.71, 9 Sm 3.54-3.70
Y  0.0203  0.2710  0.1949  1 Pm 3.32, 4 Sm 3.48-3.64, 5 Y 3.52-3.62
Y  0.1908  0.1909  0.7875  5 Y 3.52-3.62, 6 Sm 3.53-3.92, 1 Pm 3.55
Y  0.8092  0.8091  0.2125  5 Y 3.52-3.62, 6 Sm 3.53-3.92, 1 Pm 3.55
Y  0.9797  0.7290  0.8051  1 Pm 3.32, 4 Sm 3.48-3.64, 5 Y 3.52-3.62

---

Entry 9:
The following is a PBE-GGA calculation of a relaxed structure of TbPmEuHg, from the Alexandria database.

Computed properties:
* formation enthalpy at 0 K: -0.01 eV/atom

Lattice parameters (Å, degrees): 5.5290 5.5290 5.5290 60.00 60.00 60.00
Closest atoms and distances in Å follow each position.
Fractional positions:
Hg  0.2500  0.2500  0.2500  4 Eu 3.39, 4 Tb 3.39
Eu  0.0000  0.0000  0.0000  4 Pm 3.39, 4 Hg 3.39
Tb  0.5000  0.5000  0.5000  4 Hg 3.39, 4 Pm 3.39
Pm  0.7500  0.7500  0.7500  4 Tb 3.39, 4 Eu 3.39

---

Entry 10:
The following is a PBE-GGA calculation of a relaxed structure of TaInI2, from the Alexandria database.

Computed properties:
* ΔE to the lowest computed polymorph: 163 kJ/mol of formula units
* energy relative to the elements, uncorrected: 296 kJ/mol of formula units

Lattice parameters (Å, degrees): 5.1917 5.1917 5.1917 60.00 60.00 60.00
Closest atoms and distances in Å follow each position.
Fractional positions:
I  0.7500  0.7500  0.7500  4 Ta 3.18, 4 In 3.18
I  0.2500  0.2500  0.2500  4 Ta 3.18, 4 In 3.18
In  0.0000  0.0000  0.0000  8 I 3.18
Ta  0.5000  0.5000  0.5000  8 I 3.18

---

Entry 11:
The following is a PBE-GGA calculation of a relaxed structure of PuCF, from the Alexandria database.

Computed properties:
* energy relative to the elements, uncorrected: -464 kJ/mol of formula units

Lattice parameters (Å, degrees): 3.7602 3.9077 6.8716 95.76 89.99 118.78
Closest atoms and distances in Å follow each position.
Fractional positions:
C  0.5768  0.1535  0.9454  1 C 1.36
C  0.4232  0.8465  0.0546  1 C 1.36
Pu  0.1452  0.2902  0.2203  3 C 2.33-2.60, 2 F 2.45
Pu  0.8548  0.7098  0.7797  3 C 2.33-2.60, 2 F 2.45
F  0.8218  0.6434  0.3892  4 Pu 2.45-2.67, 3 F 2.68-2.73
F  0.1782  0.3566  0.6108  4 Pu 2.45-2.67, 3 F 2.68-2.73

---

Entry 12:
The following is a PBE-GGA calculation of a relaxed structure of LiSnHgBi, from the Alexandria database.

Computed properties:
* ΔE to the lowest computed polymorph: 0 kJ/mol of formula units
* formation enthalpy at 0 K: -0.16 eV/atom

Lattice parameters (Å, degrees): 3.3207 3.4160 9.0211 90.01 100.97 90.00
Closest atoms and distances in Å follow each position.
Fractional positions:
Li  0.0588  0.4296  0.1170  4 Hg 2.87-2.89, 4 Bi 3.15-3.17
Sn  0.2820  0.4299  0.5617  2 Bi 3.31-3.32, 4 Sn 3.32-3.42, 4 Hg 3.32-3.33
Bi  0.4407  0.9293  0.8825  4 Li 3.15-3.17, 2 Sn 3.31-3.32, 4 Bi 3.32-3.42
Hg  0.6488  0.9296  0.2996  4 Li 2.87-2.89